#P
KNaCdIn: optimized geometry, PBE.

Cell and atoms, written as CIF:
```
data_KNaCdIn
_cell_length_a 7.801
_cell_length_b 7.801
_cell_length_c 7.801
_cell_angle_alpha 90.00
_cell_angle_beta 90.00
_cell_angle_gamma 90.00
_space_group_name_H-M_alt 'F -4 3 m'
_space_group_IT_number 216
_space_group_name_Hall 'F -4 2 3'
loop_
_atom_site_label
_atom_site_type_symbol
_atom_site_fract_x
_atom_site_fract_y
_atom_site_fract_z
K1 K 0.000 0.000 0.000
Na1 Na 0.250 0.250 0.250
Cd1 Cd 0.250 0.250 0.750
In1 In 0.000 0.000 0.500
```

- Total magnetization: 0.00 μB per formula unit

#Q
KNaCdIn: optimized geometry, PBE.

Cell and atoms, written as CIF:
```
data_KNaCdIn
_cell_length_a 8.900
_cell_length_b 5.142
_cell_length_c 6.889
_cell_angle_alpha 90.00
_cell_angle_beta 115.68
_cell_angle_gamma 90.00
_space_group_name_H-M_alt 'C 1 m 1'
_space_group_IT_number 8
loop_
_space_group_symop_operation_xyz
'x,y,z'
'x,-y,z'
'x+1/2,y+1/2,z'
'x+1/2,-y+1/2,z'
loop_
_atom_site_label
_atom_site_type_symbol
_atom_site_fract_x
_atom_site_fract_y
_atom_site_fract_z
K1 K 0.000 0.000 0.000
Na1 Na 0.299 0.500 0.400
Cd1 Cd 0.037 0.500 0.613
In1 In 0.210 0.000 0.630
```

- Total magnetization: 0.00 μB per formula unit

Q: Which of them is the most stable? A: #Q.

#P
KRb2CdIn: optimized geometry, PBE.

Cell and atoms, written as CIF:
```
data_KRb2CdIn
_cell_length_a 7.120
_cell_length_b 7.120
_cell_length_c 5.697
_cell_angle_alpha 90.00
_cell_angle_beta 90.00
_cell_angle_gamma 90.00
_space_group_name_H-M_alt 'P 4/m m m'
_space_group_IT_number 123
_space_group_name_Hall '-P 4 2'
loop_
_atom_site_label
_atom_site_type_symbol
_atom_site_fract_x
_atom_site_fract_y
_atom_site_fract_z
K1 K 0.000 0.000 0.000
Rb1 Rb 0.000 0.500 0.500
Cd1 Cd 0.500 0.500 0.500
In1 In 0.500 0.500 0.000
```

- Total magnetization: 0.00 μB per formula unit

#Q
KRb2CdIn: optimized geometry, PBE.

Cell and atoms, written as CIF:
```
data_KRb2CdIn
_cell_length_a 7.241
_cell_length_b 7.241
_cell_length_c 5.689
_cell_angle_alpha 90.00
_cell_angle_beta 90.00
_cell_angle_gamma 90.00
_space_group_name_H-M_alt 'P 4/m m m'
_space_group_IT_number 123
_space_group_name_Hall '-P 4 2'
loop_
_atom_site_label
_atom_site_type_symbol
_atom_site_fract_x
_atom_site_fract_y
_atom_site_fract_z
K1 K 0.000 0.000 0.000
Rb1 Rb 0.000 0.500 0.500
Cd1 Cd 0.500 0.500 0.000
In1 In 0.500 0.500 0.500
```

- Total magnetization: 0.00 μB per formula unit

Q: Which of them is the most stable? A: #P.

#P
KTlCdIn: optimized geometry, PBE.

Cell and atoms, written as CIF:
```
data_KTlCdIn
_cell_length_a 7.810
_cell_length_b 7.810
_cell_length_c 7.810
_cell_angle_alpha 90.00
_cell_angle_beta 90.00
_cell_angle_gamma 90.00
_space_group_name_H-M_alt 'F -4 3 m'
_space_group_IT_number 216
_space_group_name_Hall 'F -4 2 3'
loop_
_atom_site_label
_atom_site_type_symbol
_atom_site_fract_x
_atom_site_fract_y
_atom_site_fract_z
K1 K 0.000 0.000 0.000
Tl1 Tl 0.250 0.250 0.750
Cd1 Cd 0.250 0.250 0.250
In1 In 0.000 0.000 0.500
```

- Total magnetization: 0.00 μB per formula unit

#Q
KTlCdIn: optimized geometry, PBE.

Cell and atoms, written as CIF:
```
data_KTlCdIn
_cell_length_a 5.0139
_cell_length_b 5.0139
_cell_length_c 19.2414
_cell_angle_alpha 90.00
_cell_angle_beta 90.00
_cell_angle_gamma 120.00
_space_group_name_H-M_alt 'R 3 m'
_space_group_IT_number 160
_space_group_name_Hall 'R 3 -2"'
loop_
_atom_site_label
_atom_site_type_symbol
_atom_site_fract_x
_atom_site_fract_y
_atom_site_fract_z
K1 K 0.0000 0.0000 0.0000
Tl1 Tl 0.0000 0.0000 0.2151
Cd1 Cd 0.0000 0.0000 0.4553
In1 In 0.0000 0.0000 0.7991
```

- Total magnetization: 0.00 μB per formula unit

Q: Which of them is the most stable? A: #Q.